Version A
Computed, not measured: an optimized crystal structure of LaGa3Ru at the PBE level of DFT.

```
data_LaGa3Ru
_space_group_name_H-M_alt 'P m -3 m'
_space_group_IT_number 221
_space_group_name_Hall '-P 4 2 3'
_cell_length_a 4.7660
_cell_length_b 4.7660
_cell_length_c 4.7660
_cell_angle_alpha 90.00
_cell_angle_beta 90.00
_cell_angle_gamma 90.00
loop_
_atom_site_label
_atom_site_type_symbol
_atom_site_fract_x
_atom_site_fract_y
_atom_site_fract_z
_atom_site_occupancy
La1 La 0.0000 0.0000 0.0000 1
Ga1 Ga 0.0000 0.5000 0.5000 1
Ru1 Ru 0.5000 0.5000 0.5000 1
```

D(E_F)   0.364 states/eV/atom

---

Version B
Computed, not measured: an optimized crystal structure of LaGa3Ru at the PBE level of DFT.

```
data_LaGa3Ru
_space_group_name_H-M_alt 'P m -3 m'
_space_group_IT_number 221
_space_group_name_Hall '-P 4 2 3'
_cell_length_a 5.4444
_cell_length_b 5.4444
_cell_length_c 5.4444
_cell_angle_alpha 90.00
_cell_angle_beta 90.00
_cell_angle_gamma 90.00
loop_
_atom_site_label
_atom_site_type_symbol
_atom_site_fract_x
_atom_site_fract_y
_atom_site_fract_z
_atom_site_occupancy
La1 La 0.0000 0.0000 0.0000 1
Ga1 Ga 0.0000 0.0000 0.5000 1
Ru1 Ru 0.5000 0.5000 0.5000 1
```

D(E_F)   2.367 states/eV/atom

---

Quick one: most stable of them? version A

---

Version A
Computed, not measured: an optimized crystal structure of La3GaRu at the PBE level of DFT.

```
data_La3GaRu
_space_group_name_H-M_alt 'F m m m'
_space_group_IT_number 69
_space_group_name_Hall '-F 2 2'
_cell_length_a 6.7565
_cell_length_b 9.6520
_cell_length_c 16.3810
_cell_angle_alpha 90.00
_cell_angle_beta 90.00
_cell_angle_gamma 90.00
loop_
_atom_site_label
_atom_site_type_symbol
_atom_site_fract_x
_atom_site_fract_y
_atom_site_fract_z
_atom_site_occupancy
La1 La 0.0000 0.0000 0.1994 1
La2 La 0.0000 0.1964 0.4002 1
Ga1 Ga 0.1882 0.0000 0.0000 1
Ru1 Ru 0.2500 0.2500 0.2500 1
```

D(E_F)   0.587 states/eV/atom

---

Version B
Computed, not measured: an optimized crystal structure of La3GaRu at the PBE level of DFT.

```
data_La3GaRu
_space_group_name_H-M_alt 'P m -3 m'
_space_group_IT_number 221
_space_group_name_Hall '-P 4 2 3'
_cell_length_a 5.7390
_cell_length_b 5.7390
_cell_length_c 5.7390
_cell_angle_alpha 90.00
_cell_angle_beta 90.00
_cell_angle_gamma 90.00
loop_
_atom_site_label
_atom_site_type_symbol
_atom_site_fract_x
_atom_site_fract_y
_atom_site_fract_z
_atom_site_occupancy
La1 La 0.0000 0.0000 0.5000 1
Ga1 Ga 0.5000 0.5000 0.5000 1
Ru1 Ru 0.0000 0.0000 0.0000 1
```

D(E_F)   1.071 states/eV/atom

---

Quick one: most stable of them? version A